A plane-wave DFT calculation with PBE-GGA was carried out for ZnFe2Hg after structural relaxation.

```
data_ZnFe2Hg
_space_group_name_H-M_alt 'F m -3 m'
_space_group_IT_number 225
_space_group_name_Hall '-F 4 2 3'
_cell_length_a 6.1851
_cell_length_b 6.1851
_cell_length_c 6.1851
_cell_angle_alpha 90.00
_cell_angle_beta 90.00
_cell_angle_gamma 90.00
loop_
_atom_site_label
_atom_site_type_symbol
_atom_site_fract_x
_atom_site_fract_y
_atom_site_fract_z
Zn1 Zn 0.0000 0.0000 0.0000
Fe1 Fe 0.2500 0.2500 0.2500
Hg1 Hg 0.0000 0.0000 0.5000
```

## Properties
The value obtained for the formation energy is 383 meV/atom. Its total magnetization is 19.85 Bohr magnetons per cell. For the uncorrected energy, the calculation gives -67.88 eV for the cell shown.